Entry 1:
{
  "formula": "Li4PrZn12",
  "functional": "GGA-PBE",
  "state": "optimized geometry",
  "lattice": [[-1.630, -5.909, 4.347], [7.382, 0.117, -1.403], [-1.979, 6.331, 3.533]],
  "species": ["Li", "Li", "Li", "Li", "Pr", "Zn", "Zn", "Zn", "Zn", "Zn", "Zn", "Zn", "Zn", "Zn", "Zn", "Zn", "Zn"],
  "fractional_positions": [[0.000, 0.500, 0.000], [0.500, 0.000, 0.000], [0.500, 0.500, 0.500], [0.000, 0.000, 0.500], [0.000, 0.000, 0.000], [0.850, 0.355, 0.205], [0.355, 0.505, 0.150], [0.795, 0.150, 0.645], [0.355, 0.205, 0.850], [0.205, 0.850, 0.355], [0.645, 0.495, 0.850], [0.505, 0.150, 0.355], [0.495, 0.850, 0.645], [0.645, 0.795, 0.150], [0.850, 0.645, 0.495], [0.150, 0.355, 0.505], [0.150, 0.645, 0.795]],
  "magmom_total_mub_per_atom": 0.0000,
  "dos_at_fermi_per_ev_fu": 8.1,
  "crystal_system": "cubic",
  "energy_ev_per_cell": -25.07
}



Entry 2:
{
  "formula": "Ti8SnC2",
  "functional": "GGA-PBE",
  "state": "optimized geometry",
  "lattice": [[4.362, 0.019, 0.029], [-0.691, 6.414, -0.137], [-0.691, -2.597, 5.867]],
  "species": ["Ti", "Ti", "Ti", "Ti", "Ti", "Ti", "Ti", "Ti", "Sn", "C", "C"],
  "fractional_positions": [[0.941, 0.925, 0.658], [0.941, 0.658, 0.925], [0.293, 0.579, 0.579], [0.500, 0.739, 0.261], [0.500, 0.261, 0.739], [0.707, 0.421, 0.421], [0.059, 0.342, 0.075], [0.059, 0.075, 0.342], [0.500, 0.000, 0.000], [0.000, 0.306, 0.694], [0.000, 0.694, 0.306]],
  "magmom_total_mub_per_atom": 0.0000,
  "dos_at_fermi_per_ev_fu": 9.7,
  "crystal_system": "monoclinic",
  "energy_ev_per_cell": -88.78
}



Entry 3:
{
  "formula": "La2ErIn",
  "functional": "GGA-PBE",
  "state": "optimized geometry",
  "lattice": [[-4.497, 1.584, 1.113], [1.052, -0.403, 4.822], [3.427, 4.225, -2.937]],
  "species": ["La", "La", "Er", "In"],
  "fractional_positions": [[0.002, 0.002, 0.004], [0.247, 0.747, 0.493], [0.754, 0.254, 0.508], [0.498, 0.498, 0.995]],
  "magmom_total_mub_per_atom": 0.0009,
  "de_polymorph_mev_per_atom": 35,
  "dos_at_fermi_per_ev_fu": 6.4,
  "crystal_system": "orthorhombic",
  "energy_ev_per_cell": -18.10
}



Entry 4:
{
  "formula": "PrTmThZn",
  "functional": "GGA-PBE",
  "state": "optimized geometry",
  "lattice": [[5.422, 0.000, 0.000], [2.711, 4.695, 0.000], [2.711, 1.565, 4.427]],
  "species": ["Pr", "Zn", "Tm", "Th"],
  "fractional_positions": [[0.250, 0.250, 0.250], [0.000, 0.000, 0.000], [0.500, 0.500, 0.500], [0.750, 0.750, 0.750]],
  "magmom_total_mub_per_atom": 0.0004,
  "dos_at_fermi_per_ev_fu": 6.6,
  "crystal_system": "cubic",
  "energy_ev_per_cell": -17.64
}



Entry 5:
{
  "formula": "LaBeTe4",
  "functional": "GGA-PBE",
  "state": "optimized geometry",
  "lattice": [[-6.322, -0.601, 0.341], [-3.397, 4.073, 3.511], [-3.758, 4.276, -2.836]],
  "species": ["La", "Be", "Te", "Te", "Te", "Te"],
  "fractional_positions": [[0.000, 0.000, 0.000], [0.750, 0.750, 0.750], [0.875, 0.375, 0.375], [0.375, 0.375, 0.875], [0.375, 0.875, 0.375], [0.375, 0.375, 0.375]],
  "magmom_total_mub_per_atom": 0.0008,
  "dos_at_fermi_per_ev_fu": 4.9,
  "crystal_system": "cubic",
  "energy_ev_per_cell": -19.85
}



Entry 6:
{
  "formula": "V2SeI",
  "functional": "GGA-PBE",
  "state": "optimized geometry",
  "lattice": [[5.872, 0.000, 0.000], [0.000, 5.872, 0.000], [2.936, 2.936, 6.560]],
  "species": ["I", "I", "Se", "Se", "V", "V", "V", "V"],
  "fractional_positions": [[0.000, 0.000, 0.000], [0.750, 0.250, 0.500], [0.500, 0.500, 0.000], [0.250, 0.750, 0.500], [0.570, 0.125, 0.250], [0.180, 0.625, 0.250], [0.375, 0.430, 0.750], [0.875, 0.820, 0.750]],
  "magmom_total_mub_per_atom": 1.7520,
  "de_polymorph_mev_per_atom": 0,
  "dos_at_fermi_per_ev_fu": 3.2,
  "crystal_system": "tetragonal",
  "energy_ev_per_cell": -45.57
}



Entry 7:
{
  "formula": "TlAgSb",
  "functional": "GGA-PBE",
  "state": "optimized geometry",
  "lattice": [[7.182, -0.034, 0.000], [5.615, 4.477, 0.000], [-6.398, -2.221, 2.388]],
  "species": ["Sb", "Tl", "Ag"],
  "fractional_positions": [[0.644, 0.644, 0.000], [0.346, 0.346, 0.000], [0.010, 0.010, 0.000]],
  "magmom_total_mub_per_atom": 0.0000,
  "de_polymorph_mev_per_atom": 88,
  "dos_at_fermi_per_ev_fu": 1.4,
  "crystal_system": "tetragonal",
  "energy_ev_per_cell": -9.00
}



Entry 8:
{
  "formula": "Be2TlCd",
  "functional": "GGA-PBE",
  "state": "optimized geometry",
  "lattice": [[6.531, 0.007, -0.024], [4.560, 4.675, 0.024], [-5.189, -3.184, 2.363]],
  "species": ["Be", "Be", "Tl", "Cd"],
  "fractional_positions": [[0.969, 0.969, 0.000], [0.827, 0.327, 0.500], [0.213, 0.713, 0.500], [0.490, 0.490, 0.000]],
  "magmom_total_mub_per_atom": 0.0000,
  "de_polymorph_mev_per_atom": 63,
  "dos_at_fermi_per_ev_fu": 1.0,
  "crystal_system": "orthorhombic",
  "energy_ev_per_cell": -8.62
}



Entry 9:
{
  "formula": "BaCr3H",
  "functional": "GGA-PBE",
  "state": "optimized geometry",
  "lattice": [[4.613, 0.000, 0.000], [0.000, 4.613, 0.000], [0.000, 0.000, 4.613]],
  "species": ["Cr", "Cr", "Cr", "Ba", "H"],
  "fractional_positions": [[0.000, 0.500, 0.000], [0.000, 0.000, 0.500], [0.500, 0.000, 0.000], [0.500, 0.500, 0.500], [0.000, 0.000, 0.000]],
  "magmom_total_mub_per_atom": 2.5545,
  "de_polymorph_mev_per_atom": 0,
  "dos_at_fermi_per_ev_fu": 3.3,
  "crystal_system": "cubic",
  "energy_ev_per_cell": -28.73
}



Entry 10:
{
  "formula": "CeHo2Hg",
  "functional": "GGA-PBE",
  "state": "optimized geometry",
  "lattice": [[4.677, 0.000, 0.000], [0.000, 4.856, 0.000], [0.000, 0.000, 4.856]],
  "species": ["Hg", "Ce", "Ho", "Ho"],
  "fractional_positions": [[0.500, 0.000, 0.000], [0.500, 0.500, 0.500], [0.000, 0.000, 0.500], [0.000, 0.500, 0.000]],
  "magmom_total_mub_per_atom": 0.4023,
  "de_polymorph_mev_per_atom": 85,
  "dos_at_fermi_per_ev_fu": 7.2,
  "crystal_system": "tetragonal",
  "energy_ev_per_cell": -15.83
}



Entry 11:
{
  "formula": "Ca2PPb",
  "functional": "GGA-PBE",
  "state": "optimized geometry",
  "lattice": [[3.740, 0.054, 0.000], [-0.339, 3.725, 0.000], [0.000, 0.000, 8.392]],
  "species": ["Ca", "Ca", "P", "Pb"],
  "fractional_positions": [[0.000, 0.000, 0.962], [0.500, 0.500, 0.328], [0.000, 0.000, 0.514], [0.500, 0.500, 0.696]],
  "magmom_total_mub_per_atom": 0.0000,
  "de_polymorph_mev_per_atom": 454,
  "dos_at_fermi_per_ev_fu": 2.7,
  "crystal_system": "orthorhombic",
  "energy_ev_per_cell": -14.06
}



Entry 12:
{
  "formula": "AcPmH2",
  "functional": "GGA-PBE",
  "state": "optimized geometry",
  "lattice": [[3.769, 0.000, 0.000], [1.885, 3.264, 0.000], [1.885, 1.088, 6.116]],
  "species": ["H", "H", "Ac", "Pm"],
  "fractional_positions": [[0.737, 0.737, 0.789], [0.263, 0.263, 0.211], [0.500, 0.500, 0.500], [0.000, 0.000, 0.000]],
  "magmom_total_mub_per_atom": 0.0000,
  "de_polymorph_mev_per_atom": 0,
  "dos_at_fermi_per_ev_fu": 2.0,
  "crystal_system": "trigonal",
  "energy_ev_per_cell": -16.94
}



Entry 13:
{
  "formula": "LiNbCl3",
  "functional": "GGA-PBE",
  "state": "optimized geometry",
  "lattice": [[-2.962, -4.042, -1.069], [3.551, -3.124, 1.972], [-2.208, 0.399, 4.607]],
  "species": ["Nb", "Li", "Cl", "Cl", "Cl"],
  "fractional_positions": [[0.000, 0.000, 0.000], [0.500, 0.500, 0.500], [0.000, 0.500, 0.000], [0.000, 0.000, 0.500], [0.500, 0.000, 0.000]],
  "magmom_total_mub_per_atom": 0.5996,
  "de_polymorph_mev_per_atom": 0,
  "dos_at_fermi_per_ev_fu": 1.1,
  "crystal_system": "cubic",
  "energy_ev_per_cell": -21.55
}



Entry 14:
{
  "formula": "Sb2SO2",
  "functional": "GGA-PBE",
  "state": "optimized geometry",
  "lattice": [[3.491, 0.000, 0.000], [0.000, 6.230, -0.873], [0.000, -4.080, 11.843]],
  "species": ["Sb", "Sb", "Sb", "Sb", "S", "S", "O", "O", "O", "O"],
  "fractional_positions": [[0.750, 0.325, 0.545], [0.750, 0.218, 0.184], [0.250, 0.782, 0.816], [0.250, 0.675, 0.455], [0.750, 0.677, 0.923], [0.250, 0.323, 0.077], [0.250, 0.450, 0.673], [0.250, 0.333, 0.429], [0.750, 0.667, 0.571], [0.750, 0.550, 0.327]],
  "magmom_total_mub_per_atom": 0.0000,
  "dos_at_fermi_per_ev_fu": 0.0,
  "crystal_system": "monoclinic",
  "energy_ev_per_cell": -53.54
}



Entry 15:
{
  "formula": "NdYTh2P4",
  "functional": "GGA-PBE",
  "state": "optimized geometry",
  "lattice": [[4.128, 0.000, 0.000], [0.000, 7.149, 0.120], [0.000, -2.503, 6.655]],
  "species": ["Nd", "Y", "Th", "Th", "P", "P", "P", "P"],
  "fractional_positions": [[0.500, 0.500, 0.000], [0.000, 0.000, 0.000], [0.500, 0.000, 0.500], [0.000, 0.500, 0.500], [0.500, 0.245, 0.248], [0.500, 0.755, 0.752], [0.000, 0.246, 0.749], [0.000, 0.754, 0.251]],
  "magmom_total_mub_per_atom": 0.0000,
  "dos_at_fermi_per_ev_fu": 3.9,
  "crystal_system": "monoclinic",
  "energy_ev_per_cell": -60.30
}



Entry 16:
{
  "formula": "TlSb2TeBr",
  "functional": "GGA-PBE",
  "state": "optimized geometry",
  "lattice": [[-5.563, 0.129, -0.464], [0.312, -3.136, -4.609], [-0.391, -4.924, 3.323]],
  "species": ["Sb", "Sb", "Tl", "Te", "Br"],
  "fractional_positions": [[0.000, 0.500, 0.000], [0.500, 0.000, 0.000], [0.500, 0.500, 0.500], [0.000, 0.000, 0.500], [0.000, 0.000, 0.000]],
  "magmom_total_mub_per_atom": 0.1633,
  "de_polymorph_mev_per_atom": 0,
  "dos_at_fermi_per_ev_fu": 6.2,
  "crystal_system": "tetragonal",
  "energy_ev_per_cell": -12.24
}



Entry 17:
{
  "formula": "PdPt7W2",
  "functional": "GGA-PBE",
  "state": "optimized geometry",
  "lattice": [[-3.837, -1.483, 0.236], [1.468, -4.711, -5.723], [1.142, -1.800, 7.250]],
  "species": ["Pd", "Pt", "Pt", "Pt", "Pt", "Pt", "Pt", "Pt", "W", "W"],
  "fractional_positions": [[0.000, 0.000, 0.000], [0.000, 0.800, 0.200], [0.000, 0.200, 0.800], [0.500, 0.083, 0.299], [0.500, 0.917, 0.701], [0.500, 0.299, 0.083], [0.500, 0.701, 0.917], [0.500, 0.500, 0.500], [0.500, 0.698, 0.302], [0.500, 0.302, 0.698]],
  "magmom_total_mub_per_atom": 0.0000,
  "dos_at_fermi_per_ev_fu": 9.3,
  "crystal_system": "orthorhombic",
  "energy_ev_per_cell": -70.38
}



Entry 18:
{
  "formula": "ZrCd2Au",
  "functional": "GGA-PBE",
  "state": "optimized geometry",
  "lattice": [[-2.737, 3.416, 2.108], [-2.137, -3.388, 2.749], [4.840, 0.425, -0.020]],
  "species": ["Au", "Zr", "Cd", "Cd"],
  "fractional_positions": [[0.750, 0.250, 0.500], [0.500, 0.500, 0.000], [0.000, 0.000, 0.000], [0.250, 0.750, 0.500]],
  "magmom_total_mub_per_atom": 0.0000,
  "dos_at_fermi_per_ev_fu": 1.6,
  "crystal_system": "tetragonal",
  "energy_ev_per_cell": -14.60
}



Entry 19:
{
  "formula": "Dy2CrTcN5",
  "functional": "GGA-PBE",
  "state": "optimized geometry",
  "lattice": [[-0.074, -2.905, -1.451], [4.523, 3.630, -3.866], [7.211, -2.993, 5.626]],
  "species": ["Dy", "Dy", "Dy", "Dy", "Cr", "Cr", "Tc", "Tc", "N", "N", "N", "N", "N", "N", "N", "N", "N", "N"],
  "fractional_positions": [[0.865, 0.730, 0.820], [0.123, 0.247, 0.680], [0.135, 0.270, 0.320], [0.877, 0.753, 0.180], [0.557, 0.113, 0.947], [0.443, 0.887, 0.447], [0.801, 0.601, 0.522], [0.199, 0.399, 0.022], [0.346, 0.692, 0.008], [0.684, 0.368, 0.869], [0.501, 0.002, 0.788], [0.301, 0.601, 0.655], [0.965, 0.929, 0.535], [0.654, 0.308, 0.508], [0.316, 0.632, 0.369], [0.499, 0.998, 0.288], [0.699, 0.399, 0.155], [0.035, 0.071, 0.035]],
  "magmom_total_mub_per_atom": 0.0476,
  "dos_at_fermi_per_ev_fu": 4.4,
  "crystal_system": "orthorhombic",
  "energy_ev_per_cell": -156.51
}



Entry 20:
{
  "formula": "LiAcGa2Pd5",
  "functional": "GGA-PBE",
  "state": "optimized geometry",
  "lattice": [[4.788, 0.000, 0.000], [0.000, 4.788, 0.000], [0.000, 0.000, 7.443]],
  "species": ["Li", "Ac", "Ga", "Ga", "Pd", "Pd", "Pd", "Pd", "Pd"],
  "fractional_positions": [[0.000, 0.000, 0.000], [0.000, 0.000, 0.500], [0.500, 0.500, 0.162], [0.500, 0.500, 0.838], [0.000, 0.500, 0.222], [0.500, 0.000, 0.222], [0.000, 0.500, 0.778], [0.500, 0.000, 0.778], [0.500, 0.500, 0.500]],
  "magmom_total_mub_per_atom": 0.0000,
  "dos_at_fermi_per_ev_fu": 4.0,
  "crystal_system": "tetragonal",
  "energy_ev_per_cell": -42.72
}